{"formula": "KFe2As", "functional": "PBE", "state": "relaxed", "dos_ef_per_ev_cell": 2.46, "final_energy_ev_per_fu": -21.84, "lattice_angstrom": [[3.090, 0.000, 0.000], [0.000, 3.827, 0.000], [-0.676, 0.000, 7.042]], "species": ["K", "Fe", "Fe", "As"], "frac_coords": [[0.000, 0.000, 0.000], [0.127, 0.500, 0.584], [0.611, 0.000, 0.539], [0.572, 0.500, 0.324]]}